Entry 1:
This record from Alexandria describes AcCu2Cl8 after structural relaxation. The functional is PBE.

Geometry as CIF:
```
data_AcCu2Cl8
_chemical_formula_sum 'Ac1 Cu2 Cl8'
_space_group_name_H-M_alt 'P 1'
_space_group_IT_number 1
_space_group_name_Hall 'P 1'
_cell_length_a 7.8579
_cell_length_b 7.8579
_cell_length_c 7.8579
_cell_angle_alpha 127.73
_cell_angle_beta 127.73
_cell_angle_gamma 77.06
loop_
_atom_site_label
_atom_site_fract_x
_atom_site_fract_y
_atom_site_fract_z
Ac1 0.0000 0.0000 0.0000
Cu1 0.2500 0.7500 0.5000
Cu2 0.7500 0.2500 0.5000
Cl1 0.0428 0.5400 0.8288
Cl2 0.2140 0.0428 0.5028
Cl3 0.2888 0.4600 0.5028
Cl4 0.4600 0.9572 0.1712
Cl5 0.5400 0.7112 0.4972
Cl6 0.7112 0.2140 0.1712
Cl7 0.7860 0.2888 0.8288
Cl8 0.9572 0.7860 0.4972
```

Entry 2:
# Ac2CuCl | Alexandria | PBE | relaxed
# Energy above the lowest structure with this stoichiometry, meV per atom: 149
data_Ac2CuCl
_chemical_formula_sum 'Ac2 Cu1 Cl1'
_space_group_name_H-M_alt 'P 1'
_space_group_IT_number 1
_space_group_name_Hall 'P 1'
_cell_length_a 3.6778
_cell_length_b 3.6778
_cell_length_c 8.5434
_cell_angle_alpha 90.00
_cell_angle_beta 90.00
_cell_angle_gamma 90.00
loop_
_atom_site_label
_atom_site_fract_x
_atom_site_fract_y
_atom_site_fract_z
Ac1 0.0000 0.0000 0.2244
Ac2 0.0000 0.0000 0.7756
Cu1 0.5000 0.5000 0.0000
Cl1 0.5000 0.5000 0.5000

Entry 3:
# Ac2CuCl | Alexandria | PBE | relaxed
# Energy above the lowest structure with this stoichiometry, meV per atom: 46
data_Ac2CuCl
_chemical_formula_sum 'Ac6 Cu3 Cl3'
_space_group_name_H-M_alt 'P 1'
_space_group_IT_number 1
_space_group_name_Hall 'P 1'
_cell_length_a 4.3821
_cell_length_b 4.3821
_cell_length_c 23.2336
_cell_angle_alpha 90.00
_cell_angle_beta 90.00
_cell_angle_gamma 120.00
loop_
_atom_site_label
_atom_site_fract_x
_atom_site_fract_y
_atom_site_fract_z
Ac1 0.0000 0.0000 0.0000
Ac2 0.0000 0.0000 0.1879
Ac3 0.3333 0.6667 0.6667
Ac4 0.3333 0.6667 0.8546
Ac5 0.6667 0.3333 0.3333
Ac6 0.6667 0.3333 0.5213
Cu1 0.0000 0.0000 0.5941
Cu2 0.3333 0.6667 0.2608
Cu3 0.6667 0.3333 0.9275
Cl1 0.0000 0.0000 0.4250
Cl2 0.3333 0.6667 0.0917
Cl3 0.6667 0.3333 0.7583

Entry 4:
This record from Alexandria describes AcCuCl6 after structural relaxation. The functional is PBE.

Geometry as CIF:
```
data_AcCuCl6
_chemical_formula_sum 'Ac1 Cu1 Cl6'
_space_group_name_H-M_alt 'P 1'
_space_group_IT_number 1
_space_group_name_Hall 'P 1'
_cell_length_a 4.9613
_cell_length_b 6.5820
_cell_length_c 6.8662
_cell_angle_alpha 94.09
_cell_angle_beta 103.12
_cell_angle_gamma 92.73
loop_
_atom_site_label
_atom_site_fract_x
_atom_site_fract_y
_atom_site_fract_z
Ac1 0.0000 0.0000 0.0000
Cu1 0.0000 0.5000 0.5000
Cl1 0.1643 0.6389 0.2621
Cl2 0.1692 0.2070 0.4327
Cl3 0.4596 0.7533 0.9350
Cl4 0.5404 0.2467 0.0650
Cl5 0.8308 0.7930 0.5673
Cl6 0.8357 0.3611 0.7379
```

Entry 5:
This record from Alexandria describes AcCu4Cl12 after structural relaxation. The functional is PBE.

Geometry as CIF:
```
data_AcCu4Cl12
_chemical_formula_sum 'Ac1 Cu4 Cl12'
_space_group_name_H-M_alt 'P 1'
_space_group_IT_number 1
_space_group_name_Hall 'P 1'
_cell_length_a 8.0010
_cell_length_b 8.0010
_cell_length_c 8.0010
_cell_angle_alpha 109.47
_cell_angle_beta 109.47
_cell_angle_gamma 109.47
loop_
_atom_site_label
_atom_site_fract_x
_atom_site_fract_y
_atom_site_fract_z
Ac1 0.0000 0.0000 0.0000
Cu1 0.0000 0.0000 0.5000
Cu2 0.0000 0.5000 0.0000
Cu3 0.5000 0.0000 0.0000
Cu4 0.5000 0.5000 0.5000
Cl1 0.0927 0.2844 0.8082
Cl2 0.1918 0.4762 0.2844
Cl3 0.1918 0.9073 0.7156
Cl4 0.2844 0.1918 0.4762
Cl5 0.2844 0.8082 0.0927
Cl6 0.4762 0.2844 0.1918
Cl7 0.5238 0.7156 0.8082
Cl8 0.7156 0.1918 0.9073
Cl9 0.7156 0.8082 0.5238
Cl10 0.8082 0.0927 0.2844
Cl11 0.8082 0.5238 0.7156
Cl12 0.9073 0.7156 0.1918
```

Entry 6:
This record from Alexandria describes K2AcCuCl6 after structural relaxation. The functional is PBE.

Geometry as CIF:
```
data_K2AcCuCl6
_chemical_formula_sum 'K4 Ac2 Cu2 Cl12'
_space_group_name_H-M_alt 'P 1'
_space_group_IT_number 1
_space_group_name_Hall 'P 1'
_cell_length_a 8.0159
_cell_length_b 8.5099
_cell_length_c 12.2821
_cell_angle_alpha 90.00
_cell_angle_beta 128.62
_cell_angle_gamma 90.00
loop_
_atom_site_label
_atom_site_fract_x
_atom_site_fract_y
_atom_site_fract_z
K1 0.2459 0.0688 0.2519
K2 0.2459 0.4312 0.7519
K3 0.7541 0.5688 0.2481
K4 0.7541 0.9312 0.7481
Ac1 0.5000 0.0000 0.0000
Ac2 0.5000 0.5000 0.5000
Cu1 0.0000 0.0000 0.5000
Cu2 0.0000 0.5000 0.0000
Cl1 0.1138 0.0452 0.7092
Cl2 0.1138 0.4548 0.2092
Cl3 0.2366 0.6545 0.5479
Cl4 0.2366 0.8455 0.0479
Cl5 0.3929 0.2008 0.5473
Cl6 0.3929 0.2992 0.0473
Cl7 0.6071 0.7008 0.9527
Cl8 0.6071 0.7992 0.4527
Cl9 0.7634 0.1545 0.9521
Cl10 0.7634 0.3455 0.4521
Cl11 0.8862 0.5452 0.7908
Cl12 0.8862 0.9548 0.2908
```

Entry 7:
This record from Alexandria describes Li3AcCu4Cl12 after structural relaxation. The functional is PBE.

Geometry as CIF:
```
data_Li3AcCu4Cl12
_chemical_formula_sum 'Li3 Ac1 Cu4 Cl12'
_space_group_name_H-M_alt 'P 1'
_space_group_IT_number 1
_space_group_name_Hall 'P 1'
_cell_length_a 8.3747
_cell_length_b 8.3747
_cell_length_c 8.3747
_cell_angle_alpha 105.04
_cell_angle_beta 105.04
_cell_angle_gamma 105.04
loop_
_atom_site_label
_atom_site_fract_x
_atom_site_fract_y
_atom_site_fract_z
Li1 0.0000 0.5858 0.4142
Li2 0.4142 0.0000 0.5858
Li3 0.5858 0.4142 0.0000
Ac1 0.0000 0.0000 0.0000
Cu1 0.0722 0.5000 0.9278
Cu2 0.5000 0.5000 0.5000
Cu3 0.5000 0.9278 0.0722
Cu4 0.9278 0.0722 0.5000
Cl1 0.0221 0.6740 0.7785
Cl2 0.0949 0.9051 0.5000
Cl3 0.2215 0.3260 0.9779
Cl4 0.3260 0.9779 0.2215
Cl5 0.3346 0.6654 0.5000
Cl6 0.5000 0.0949 0.9051
Cl7 0.5000 0.3346 0.6654
Cl8 0.6654 0.5000 0.3346
Cl9 0.6740 0.7785 0.0221
Cl10 0.7785 0.0221 0.6740
Cl11 0.9051 0.5000 0.0949
Cl12 0.9779 0.2215 0.3260
```

Entry 8:
This record from Alexandria describes Ac4CuOsCl2 after structural relaxation. The functional is PBE.

Geometry as CIF:
```
data_Ac4CuOsCl2
_chemical_formula_sum 'Ac4 Cu1 Os1 Cl2'
_space_group_name_H-M_alt 'P 1'
_space_group_IT_number 1
_space_group_name_Hall 'P 1'
_cell_length_a 7.5128
_cell_length_b 4.3873
_cell_length_c 8.3531
_cell_angle_alpha 90.00
_cell_angle_beta 107.48
_cell_angle_gamma 90.00
loop_
_atom_site_label
_atom_site_fract_x
_atom_site_fract_y
_atom_site_fract_z
Ac1 0.2251 0.0000 0.2048
Ac2 0.2532 0.5000 0.7954
Ac3 0.7468 0.5000 0.2046
Ac4 0.7749 0.0000 0.7952
Cu1 0.5000 0.0000 0.0000
Os1 0.0000 0.5000 0.0000
Cl1 0.0000 0.0000 0.5000
Cl2 0.5000 0.5000 0.5000
```

Entry 9:
This record from Alexandria describes Ac6CuOs2Cl3 after structural relaxation. The functional is PBE.

Geometry as CIF:
```
data_Ac6CuOs2Cl3
_chemical_formula_sum 'Ac6 Cu1 Os2 Cl3'
_space_group_name_H-M_alt 'P 1'
_space_group_IT_number 1
_space_group_name_Hall 'P 1'
_cell_length_a 7.5344
_cell_length_b 7.5344
_cell_length_c 8.3751
_cell_angle_alpha 98.50
_cell_angle_beta 98.50
_cell_angle_gamma 120.06
loop_
_atom_site_label
_atom_site_fract_x
_atom_site_fract_y
_atom_site_fract_z
Ac1 0.0827 0.4326 0.7959
Ac2 0.2166 0.2166 0.2041
Ac3 0.4326 0.0827 0.7959
Ac4 0.5674 0.9173 0.2041
Ac5 0.7834 0.7834 0.7959
Ac6 0.9173 0.5674 0.2041
Cu1 0.5000 0.5000 0.0000
Os1 0.1662 0.8338 0.0000
Os2 0.8338 0.1662 0.0000
Cl1 0.0000 0.0000 0.5000
Cl2 0.3252 0.6748 0.5000
Cl3 0.6748 0.3252 0.5000
```

Entry 10:
This record from Alexandria describes AcCuPCl after structural relaxation. The functional is PBE.

Geometry as CIF:
```
data_AcCuPCl
_chemical_formula_sum 'Ac2 Cu2 P2 Cl2'
_space_group_name_H-M_alt 'P 1'
_space_group_IT_number 1
_space_group_name_Hall 'P 1'
_cell_length_a 13.6782
_cell_length_b 13.6782
_cell_length_c 13.6782
_cell_angle_alpha 17.81
_cell_angle_beta 17.81
_cell_angle_gamma 17.81
loop_
_atom_site_label
_atom_site_fract_x
_atom_site_fract_y
_atom_site_fract_z
Ac1 0.0791 0.0791 0.0791
Ac2 0.9209 0.9209 0.9209
Cu1 0.3112 0.3112 0.3112
Cu2 0.6888 0.6888 0.6888
P1 0.3704 0.3704 0.3704
P2 0.6296 0.6296 0.6296
Cl1 0.2093 0.2093 0.2093
Cl2 0.7907 0.7907 0.7907
```

Entry 11:
This record from Alexandria describes Ac4CuPtCl2 after structural relaxation. The functional is PBE.

Geometry as CIF:
```
data_Ac4CuPtCl2
_chemical_formula_sum 'Ac4 Cu1 Pt1 Cl2'
_space_group_name_H-M_alt 'P 1'
_space_group_IT_number 1
_space_group_name_Hall 'P 1'
_cell_length_a 7.6571
_cell_length_b 4.4775
_cell_length_c 8.0777
_cell_angle_alpha 90.00
_cell_angle_beta 108.74
_cell_angle_gamma 90.00
loop_
_atom_site_label
_atom_site_fract_x
_atom_site_fract_y
_atom_site_fract_z
Ac1 0.2372 0.0000 0.2145
Ac2 0.2555 0.5000 0.7849
Ac3 0.7445 0.5000 0.2151
Ac4 0.7628 0.0000 0.7855
Cu1 0.5000 0.0000 0.0000
Pt1 0.0000 0.5000 0.0000
Cl1 0.0000 0.0000 0.5000
Cl2 0.5000 0.5000 0.5000
```

Entry 12:
This record from Alexandria describes RbAcCu2Cl8 after structural relaxation. The functional is PBE.

Geometry as CIF:
```
data_RbAcCu2Cl8
_chemical_formula_sum 'Rb1 Ac1 Cu2 Cl8'
_space_group_name_H-M_alt 'P 1'
_space_group_IT_number 1
_space_group_name_Hall 'P 1'
_cell_length_a 8.8739
_cell_length_b 8.8739
_cell_length_c 8.8739
_cell_angle_alpha 135.33
_cell_angle_beta 135.33
_cell_angle_gamma 65.02
loop_
_atom_site_label
_atom_site_fract_x
_atom_site_fract_y
_atom_site_fract_z
Rb1 0.0000 0.0000 0.0000
Ac1 0.7500 0.2500 0.5000
Cu1 0.2500 0.7500 0.5000
Cu2 0.5000 0.5000 0.0000
Cl1 0.0392 0.9594 0.6191
Cl2 0.0406 0.6596 0.0798
Cl3 0.1564 0.3035 0.6238
Cl4 0.3404 0.4202 0.3809
Cl5 0.4674 0.8436 0.1471
Cl6 0.5798 0.9608 0.9202
Cl7 0.6797 0.5326 0.3762
Cl8 0.6965 0.3203 0.8529
```

Energy relative to the elements, uncorrected: -1083.9; -647.8; -750.6; -1299.6; -860.2; -1802.5; -1192.9; -858.4; -880.7; -1277.9; -1096.9; -1330.0 (meV/atom)
Spin magnetization: 0.85; 0.00; 0.00; 0.00; 0.00; 0.30; 2.11; 0.00; 0.00; 0.00; 0.00; 2.10 (μB per cell)